# 1
Here is a relaxed Al2HgS4 crystal from Alexandria. Energies are from GGA-PBEsol.

Lattice parameters (Å, degrees): 10.2679 10.2679 10.2679 90.00 90.00 90.00
Last column: nearest neighbours and their distance in Å.
Space group Fd-3m (No. 227, origin choice 2)
Symmetry-distinct sites (fractional):
1 Al 0.0000 0.0000 0.0000 x16  6 S 2.42
2 Hg 0.1250 0.1250 0.6250 x8  4 S 2.49
3 S 0.0149 0.0149 0.2351 x32  3 Al 2.42, 1 Hg 2.49

Output
total magnetic moment	0.00	μB per cell
energy	-0.33972	Ry per atom
energy above the lowest structure with this stoichiometry	0.000	eV/atom
formation energy without anion corrections	-6.07	eV per formula unit

---

# 2
Here is a relaxed Al2HgS4 crystal from Alexandria. Energies are from GGA-PBEsol.

Lattice parameters (Å, degrees): 5.5009 5.5009 10.1916 90.00 90.00 90.00
Last column: nearest neighbours and their distance in Å.
Space group I-4 (No. 82)
Symmetry-distinct sites (fractional):
1 Al 0.0000 0.0000 0.0000 x2  4 S 2.26
2 Al 0.0000 0.5000 0.2500 x2  4 S 2.26
3 Hg 0.0000 0.5000 0.7500 x2  4 S 2.54
4 S 0.2279 0.2718 0.3879 x8  2 Al 2.26

Output
total magnetic moment	0.00	μB per cell
energy	-0.33692	Ry per atom
energy above the lowest structure with this stoichiometry	0.038	eV/atom
formation energy without anion corrections	-5.80	eV per formula unit

---

# 3
Here is a relaxed AlHgS3 crystal from Alexandria. Energies are from GGA-PBEsol.

Lattice parameters (Å, degrees): 4.8929 4.8929 4.8929 90.00 90.00 90.00
Last column: nearest neighbours and their distance in Å.
Space group Pm-3m (No. 221)
Symmetry-distinct sites (fractional):
1 Al 0.0000 0.0000 0.0000 x1  12 S 3.46
2 Hg 0.5000 0.5000 0.5000 x1  6 S 2.45
3 S 0.0000 0.5000 0.5000 x3  2 Hg 2.45

Output
total magnetic moment	0.00	μB per cell
energy	-0.20548	Ry per atom
formation energy without anion corrections	3.83	eV per formula unit

---

# 4
Here is a relaxed Al2HgTeS crystal from Alexandria. Energies are from GGA-PBEsol.

Lattice parameters (Å, degrees): 4.9870 4.9870 5.0675 90.00 90.00 90.00
Last column: nearest neighbours and their distance in Å.
Space group P4/mmm (No. 123)
Symmetry-distinct sites (fractional):
1 Al 0.0000 0.5000 0.0000 x2  2 Hg 2.49
2 Hg 0.0000 0.0000 0.0000 x1  4 Al 2.49, 2 S 2.53
3 Te 0.5000 0.5000 0.5000 x1  4 S 3.53, 8 Al 3.55
4 S 0.0000 0.0000 0.5000 x1  2 Hg 2.53

Output
total magnetic moment	0.00	μB per cell
energy	-0.20505	Ry per atom
formation energy without anion corrections	2.71	eV per formula unit

---

# 5
Here is a relaxed Al3HgSb crystal from Alexandria. Energies are from GGA-PBEsol.

Lattice parameters (Å, degrees): 4.9643 4.9643 4.9643 90.00 90.00 90.00
Last column: nearest neighbours and their distance in Å.
Space group Pm-3m (No. 221)
Symmetry-distinct sites (fractional):
1 Al 0.0000 0.0000 0.5000 x3  2 Hg 2.48
2 Hg 0.0000 0.0000 0.0000 x1  6 Al 2.48
3 Sb 0.5000 0.5000 0.5000 x1  12 Al 3.51

Output
total magnetic moment	0.00	μB per cell
energy	-0.21759	Ry per atom
formation energy without anion corrections	2.60	eV per formula unit

---

# 6
Here is a relaxed Al2HgSb crystal from Alexandria. Energies are from GGA-PBEsol.

Lattice parameters (Å, degrees): 4.0397 4.0397 18.7682 90.00 90.00 120.00
Last column: nearest neighbours and their distance in Å.
Space group R-3m (No. 166, hexagonal axes)
Symmetry-distinct sites (fractional):
1 Al 0.0000 0.0000 0.2466 x6  3 Hg 2.77, 3 Sb 2.84
2 Hg 0.0000 0.0000 0.5000 x3  6 Al 2.77
3 Sb 0.0000 0.0000 0.0000 x3  6 Al 2.84

Output
total magnetic moment	0.00	μB per cell
energy	-0.23871	Ry per atom
energy above the lowest structure with this stoichiometry	0.000	eV/atom
formation energy without anion corrections	0.32	eV per formula unit

---

# 7
Here is a relaxed Al2HgSb crystal from Alexandria. Energies are from GGA-PBEsol.

Lattice parameters (Å, degrees): 4.0809 5.2350 7.9856 90.00 90.00 90.00
Last column: nearest neighbours and their distance in Å.
Space group Immm (No. 71)
Symmetry-distinct sites (fractional):
1 Al 0.0000 0.0000 0.2383 x4  2 Hg 2.79, 2 Sb 2.92
2 Hg 0.0000 0.5000 0.5000 x2  4 Al 2.79
3 Sb 0.0000 0.5000 0.0000 x2  8 Al 2.92-3.24

Output
total magnetic moment	0.00	μB per cell
energy	-0.23211	Ry per atom
energy above the lowest structure with this stoichiometry	0.090	eV/atom
formation energy without anion corrections	0.68	eV per formula unit

---

# 8
Here is a relaxed Sc2AlHg crystal from Alexandria. Energies are from GGA-PBEsol.

Lattice parameters (Å, degrees): 3.3142 4.8352 4.9578 90.00 90.00 90.00
Last column: nearest neighbours and their distance in Å.
Space group Pmm2 (No. 25)
Symmetry-distinct sites (fractional):
1 Sc 0.0000 0.0000 0.0000 x1  4 Hg 2.90-3.06, 4 Al 2.95, 2 Sc 3.20
2 Sc 0.0000 0.5000 0.4236 x1  4 Hg 2.97, 4 Al 2.98-2.99, 4 Sc 3.20-3.31
3 Al 0.5000 0.5000 0.9249 x1  8 Sc 2.95-2.99, 2 Hg 3.15
4 Hg 0.5000 0.0000 0.5189 x1  8 Sc 2.90-3.06, 2 Al 3.15

Output
total magnetic moment	0.00	μB per cell
energy	-0.36287	Ry per atom
formation energy from the elements	-0.47	eV per atom

---

# 9
Here is a relaxed Sc2AlHg crystal from Alexandria. Energies are from GGA-PBEsol.

Lattice parameters (Å, degrees): 4.3848 4.3848 8.1777 90.00 90.00 90.00
Last column: nearest neighbours and their distance in Å.
Space group I4/mmm (No. 139)
Symmetry-distinct sites (fractional):
1 Sc 0.0000 0.5000 0.2500 x4  4 Al 3.00, 4 Hg 3.00, 4 Sc 3.10
2 Al 0.0000 0.0000 0.0000 x2  8 Sc 3.00, 4 Hg 3.10
3 Hg 0.0000 0.0000 0.5000 x2  8 Sc 3.00, 4 Al 3.10

Output
total magnetic moment	0.62	μB per cell
energy	-0.36265	Ry per atom
formation energy from the elements	-0.47	eV per atom

---

# 10
Here is a relaxed Sc2AlHg crystal from Alexandria. Energies are from GGA-PBEsol.

Lattice parameters (Å, degrees): 4.9233 3.2767 5.6887 90.00 112.60 90.00
Last column: nearest neighbours and their distance in Å.
Space group P2/m (No. 10)
Symmetry-distinct sites (fractional):
1 Sc 0.0000 0.0000 0.0000 x1  4 Hg 2.96, 2 Al 2.96, 6 Sc 3.28
2 Sc 0.0000 0.5000 0.5000 x1  4 Al 2.96, 2 Hg 2.96, 6 Sc 3.28
3 Al 0.5000 0.0000 0.5000 x1  6 Sc 2.96, 2 Al 3.28, 4 Hg 3.28
4 Hg 0.5000 0.5000 0.0000 x1  6 Sc 2.96, 2 Hg 3.28, 4 Al 3.28

Output
total magnetic moment	0.00	μB per cell
energy	-0.34880	Ry per atom
formation energy from the elements	-0.28	eV per atom

---

# 11
Here is a relaxed Sc2AlHg crystal from Alexandria. Energies are from GGA-PBEsol.

Lattice parameters (Å, degrees): 3.1403 4.0462 6.1896 90.00 90.00 90.00
Last column: nearest neighbours and their distance in Å.
Space group Pmmm (No. 47)
Symmetry-distinct sites (fractional):
1 Sc 0.0000 0.0000 0.2434 x2  4 Al 2.97, 4 Hg 3.01, 4 Sc 3.01-3.18
2 Al 0.5000 0.5000 0.0000 x1  8 Sc 2.97, 2 Hg 3.09, 2 Al 3.14
3 Hg 0.5000 0.5000 0.5000 x1  8 Sc 3.01, 2 Al 3.09, 2 Hg 3.14

Output
total magnetic moment	0.30	μB per cell
energy	-0.36289	Ry per atom
formation energy from the elements	-0.47	eV per atom

---

# 12
Here is a relaxed ScAlHg crystal from Alexandria. Energies are from GGA-PBEsol.

Lattice parameters (Å, degrees): 4.5306 4.5306 3.2336 90.00 90.00 120.00
Last column: nearest neighbours and their distance in Å.
Space group P-6m2 (No. 187)
Symmetry-distinct sites (fractional):
1 Sc 0.0000 0.0000 0.0000 x1  6 Hg 3.08, 6 Al 3.08, 2 Sc 3.23
2 Al 0.3333 0.6667 0.5000 x1  3 Hg 2.62
3 Hg 0.6667 0.3333 0.5000 x1  3 Al 2.62

Output
total magnetic moment	0.00	μB per cell
energy	-0.31125	Ry per atom
formation energy from the elements	-0.48	eV per atom

---

# 13
Here is a relaxed ScAlHg2 crystal from Alexandria. Energies are from GGA-PBEsol.

Lattice parameters (Å, degrees): 4.3221 4.3221 4.1598 90.00 90.00 90.00
Last column: nearest neighbours and their distance in Å.
Space group P4/mmm (No. 123)
Symmetry-distinct sites (fractional):
1 Sc 0.0000 0.0000 0.0000 x1  8 Hg 3.00, 4 Al 3.06
2 Al 0.5000 0.5000 0.0000 x1  8 Hg 3.00, 4 Sc 3.06
3 Hg 0.0000 0.5000 0.5000 x2  4 Sc 3.00, 4 Al 3.00, 4 Hg 3.06

Output
total magnetic moment	0.00	μB per cell
energy	-0.24333	Ry per atom
formation energy from the elements	-0.35	eV per atom

---

# 14
Here is a relaxed Sc2AlHg crystal from Alexandria. Energies are from GGA-PBEsol.

Lattice parameters (Å, degrees): 6.1876 8.0614 3.1615 90.00 90.00 90.00
Last column: nearest neighbours and their distance in Å.
Space group Cmmm (No. 65)
Symmetry-distinct sites (fractional):
1 Sc 0.2500 0.2500 0.0000 x4  4 Hg 2.99, 4 Al 2.99, 4 Sc 3.09-3.16
2 Al 0.0000 0.0000 0.5000 x2  8 Sc 2.99, 2 Hg 3.09, 2 Al 3.16
3 Hg 0.0000 0.5000 0.5000 x2  8 Sc 2.99, 2 Al 3.09, 2 Hg 3.16

Output
total magnetic moment	0.40	μB per cell
energy	-0.36281	Ry per atom
formation energy from the elements	-0.47	eV per atom

---

# 15
Here is a relaxed Sc2AlHg crystal from Alexandria. Energies are from GGA-PBEsol.

Lattice parameters (Å, degrees): 4.3946 4.3946 4.0727 90.00 90.00 90.00
Last column: nearest neighbours and their distance in Å.
Space group P4/mmm (No. 123)
Symmetry-distinct sites (fractional):
1 Sc 0.0000 0.5000 0.0000 x2  4 Hg 3.00, 4 Al 3.00, 4 Sc 3.11
2 Al 0.0000 0.0000 0.5000 x1  8 Sc 3.00, 4 Hg 3.11
3 Hg 0.5000 0.5000 0.5000 x1  8 Sc 3.00, 4 Al 3.11

Output
total magnetic moment	0.33	μB per cell
energy	-0.36217	Ry per atom
formation energy from the elements	-0.46	eV per atom

---

# 16
Here is a relaxed ScAlHg2 crystal from Alexandria. Energies are from GGA-PBEsol.

Lattice parameters (Å, degrees): 4.4229 4.4229 7.9625 90.00 90.00 90.00
Last column: nearest neighbours and their distance in Å.
Space group I4/mmm (No. 139)
Symmetry-distinct sites (fractional):
1 Sc 0.0000 0.0000 0.0000 x2  8 Hg 2.98, 4 Al 3.13
2 Al 0.0000 0.0000 0.5000 x2  8 Hg 2.98, 4 Sc 3.13
3 Hg 0.0000 0.5000 0.2500 x4  4 Sc 2.98, 4 Al 2.98, 4 Hg 3.13

Output
total magnetic moment	0.00	μB per cell
energy	-0.24093	Ry per atom
formation energy from the elements	-0.32	eV per atom

---

# 17
Here is a relaxed AlHgSe2 crystal from Alexandria. Energies are from GGA-PBEsol.

Lattice parameters (Å, degrees): 3.6783 3.6783 24.8570 90.00 90.00 120.00
Last column: nearest neighbours and their distance in Å.
Space group R-3m (No. 166, hexagonal axes)
Symmetry-distinct sites (fractional):
1 Al 0.0000 0.0000 0.0000 x3  6 Se 2.53
2 Hg 0.0000 0.0000 0.5000 x3  2 Se 2.76
3 Se 0.0000 0.0000 0.3888 x6  3 Al 2.53, 1 Hg 2.76

Output
total magnetic moment	0.00	μB per cell
energy	-0.25801	Ry per atom
energy above the lowest structure with this stoichiometry	0.000	eV/atom
formation energy without anion corrections	-1.68	eV per formula unit

---

# 18
Here is a relaxed AlHgSe2 crystal from Alexandria. Energies are from GGA-PBEsol.

Lattice parameters (Å, degrees): 3.4975 3.6847 13.3632 90.00 90.00 90.00
Last column: nearest neighbours and their distance in Å.
Space group Imm2 (No. 44)
Symmetry-distinct sites (fractional):
1 Al 0.0000 0.0000 0.0000 x2  6 Se 2.53-2.75
2 Hg 0.0000 0.5000 0.7517 x2  6 Se 2.94-2.96
3 Se 0.0000 0.0000 0.5786 x2  4 Al 2.75, 2 Hg 2.96
4 Se 0.0000 0.5000 0.3627 x2  2 Al 2.53

Output
total magnetic moment	0.00	μB per cell
energy	-0.24253	Ry per atom
energy above the lowest structure with this stoichiometry	0.211	eV/atom
formation energy without anion corrections	-0.84	eV per formula unit

---

# 19
Here is a relaxed AlHgSe2 crystal from Alexandria. Energies are from GGA-PBEsol.

Lattice parameters (Å, degrees): 4.8617 4.8617 3.4151 90.00 90.00 90.00
Last column: nearest neighbours and their distance in Å.
Space group P4/mmm (No. 123)
Symmetry-distinct sites (fractional):
1 Al 0.0000 0.0000 0.0000 x1  8 Se 2.97
2 Hg 0.5000 0.5000 0.0000 x1  8 Se 2.97
3 Se 0.0000 0.5000 0.5000 x2  4 Hg 2.97, 4 Al 2.97

Output
total magnetic moment	0.00	μB per cell
energy	-0.22061	Ry per atom
energy above the lowest structure with this stoichiometry	0.509	eV/atom
formation energy without anion corrections	0.35	eV per formula unit

---

# 20
Here is a relaxed AlHgSe2 crystal from Alexandria. Energies are from GGA-PBEsol.

Lattice parameters (Å, degrees): 3.5727 5.6611 9.1402 90.00 90.00 90.00
Last column: nearest neighbours and their distance in Å.
Space group Cmmm (No. 65)
Symmetry-distinct sites (fractional):
1 Al 0.0000 0.0000 0.0000 x2  4 Se 2.46
2 Hg 0.0000 0.0000 0.5000 x2  6 Hg 3.35-3.57, 4 Se 3.39
3 Se 0.0000 0.5000 0.1843 x4  2 Al 2.46

Output
total magnetic moment	0.00	μB per cell
energy	-0.23934	Ry per atom
energy above the lowest structure with this stoichiometry	0.254	eV/atom
formation energy without anion corrections	-0.67	eV per formula unit